The following is a DFT calculation (meta-GGA SCAN) of a crystal of InSb2Te relaxed with PBEsol.

Summary:
Energy relative to the elements, uncorrected ... -0.12 eV/atom
M_tot ... 0.000 μB per atom
Excess energy over the best structure of this formula in the dataset ... 0 meV/atom

Cell: 4.362 4.362 6.059 Å, 90.00 90.00 90.00°
Fractional positions:
In1 0.000 0.000 0.000
Sb1 0.000 0.000 0.500
Sb2 0.500 0.500 0.500
Te1 0.500 0.500 0.000